No. 1
# Y2CrRu | the Alexandria database | PBE | relaxed
data_Y2CrRu
_symmetry_space_group_name_H-M 'P 4/m m m'
_symmetry_Int_Tables_number 123
_symmetry_space_group_name_Hall '-P 4 2'
_cell_length_a 3.483
_cell_length_b 3.483
_cell_length_c 6.988
_cell_angle_alpha 90.00
_cell_angle_beta 90.00
_cell_angle_gamma 90.00
loop_
_atom_site_label
_atom_site_type_symbol
_atom_site_fract_x
_atom_site_fract_y
_atom_site_fract_z
Y1 Y 0.000 0.000 0.236
Cr1 Cr 0.500 0.500 0.500
Ru1 Ru 0.500 0.500 0.000
# Calculated formation energy   0.03 eV/atom
# Raw total energy   -7.923 eV/atom

No. 2
# MgTl2Bi | the Alexandria database | PBE | relaxed
data_MgTl2Bi
_symmetry_space_group_name_H-M 'R -3 m'
_symmetry_Int_Tables_number 166
_symmetry_space_group_name_Hall '-R 3 2"'
_cell_length_a 3.4901
_cell_length_b 3.4901
_cell_length_c 33.2844
_cell_angle_alpha 90.00
_cell_angle_beta 90.00
_cell_angle_gamma 120.00
loop_
_atom_site_label
_atom_site_type_symbol
_atom_site_fract_x
_atom_site_fract_y
_atom_site_fract_z
Mg1 Mg 0.0000 0.0000 0.0000
Tl1 Tl 0.0000 0.0000 0.4055
Bi1 Bi 0.0000 0.0000 0.5000
# Calculated formation energy   0.04 eV/atom
# Raw total energy   -2.515 eV/atom

No. 3
# HfNbAs | the Alexandria database | PBE | relaxed
data_HfNbAs
_symmetry_space_group_name_H-M 'P m m a'
_symmetry_Int_Tables_number 51
_cell_length_a 12.612
_cell_length_b 3.583
_cell_length_c 7.330
_cell_angle_alpha 90.00
_cell_angle_beta 90.00
_cell_angle_gamma 90.00
loop_
_symmetry_equiv_pos_as_xyz
'x,y,z'
'-x,-y,-z'
'-x+1/2,-y,z'
'x+1/2,y,-z'
'x+1/2,-y,-z'
'-x+1/2,y,z'
'-x,y,-z'
'x,-y,z'
loop_
_atom_site_label
_atom_site_type_symbol
_atom_site_fract_x
_atom_site_fract_y
_atom_site_fract_z
Hf1 Hf 0.056 0.000 0.210
Hf2 Hf 0.250 0.000 0.808
Nb1 Nb 0.107 0.500 0.548
Nb2 Nb 0.250 0.500 0.172
As1 As 0.102 0.500 0.915
As2 As 0.250 0.000 0.431
# Calculated formation energy   -0.67 eV/atom
# Raw total energy   -8.891 eV/atom

No. 4
# FeCuSb2 | the Alexandria database | PBE | relaxed
data_FeCuSb2
_symmetry_space_group_name_H-M 'P 4/m m m'
_symmetry_Int_Tables_number 123
_symmetry_space_group_name_Hall '-P 4 2'
_cell_length_a 3.367
_cell_length_b 3.367
_cell_length_c 6.458
_cell_angle_alpha 90.00
_cell_angle_beta 90.00
_cell_angle_gamma 90.00
loop_
_atom_site_label
_atom_site_type_symbol
_atom_site_fract_x
_atom_site_fract_y
_atom_site_fract_z
Fe1 Fe 0.000 0.000 0.000
Cu1 Cu 0.000 0.000 0.500
Sb1 Sb 0.500 0.500 0.237
# Raw total energy   -4.890 eV/atom
# ΔE_f (raw)   0.3107 eV per atom

No. 5
# TbPr2NdTm | the Alexandria database | PBE | relaxed
data_TbPr2NdTm
_symmetry_space_group_name_H-M 'P 1 2/c 1'
_symmetry_Int_Tables_number 13
_cell_length_a 8.227
_cell_length_b 6.835
_cell_length_c 6.230
_cell_angle_alpha 90.00
_cell_angle_beta 90.11
_cell_angle_gamma 90.00
loop_
_symmetry_equiv_pos_as_xyz
'x,y,z'
'-x,-y,-z'
'-x,y,-z+1/2'
'x,-y,z+1/2'
loop_
_atom_site_label
_atom_site_type_symbol
_atom_site_fract_x
_atom_site_fract_y
_atom_site_fract_z
Tb1 Tb 0.000 0.158 0.250
Pr1 Pr 0.197 0.309 0.751
Nd1 Nd 0.500 0.000 0.000
Tm1 Tm 0.500 0.416 0.250
# Calculated formation energy   0.26 eV/atom
# Raw total energy   -4.422 eV/atom

No. 6
# Ba2Sn4Ir3Au | the Alexandria database | PBE | relaxed
data_Ba2Sn4Ir3Au
_symmetry_space_group_name_H-M 'P -4 m 2'
_symmetry_Int_Tables_number 115
_cell_length_a 4.796
_cell_length_b 4.796
_cell_length_c 10.704
_cell_angle_alpha 90.00
_cell_angle_beta 90.00
_cell_angle_gamma 90.00
loop_
_symmetry_equiv_pos_as_xyz
'x,y,z'
'y,-x,-z'
'-x,-y,z'
'-y,x,-z'
'-x,y,z'
'-y,-x,-z'
'x,-y,z'
'y,x,-z'
loop_
_atom_site_label
_atom_site_type_symbol
_atom_site_fract_x
_atom_site_fract_y
_atom_site_fract_z
Ba1 Ba 0.000 0.500 0.247
Sn1 Sn 0.000 0.000 0.500
Sn2 Sn 0.000 0.500 0.872
Sn3 Sn 0.500 0.500 0.500
Ir1 Ir 0.000 0.000 0.000
Ir2 Ir 0.000 0.500 0.622
Au1 Au 0.500 0.500 0.000
# Calculated formation energy   -0.43 eV/atom
# Raw total energy   -5.400 eV/atom

No. 7
# TbScBr | the Alexandria database | PBE | relaxed
data_TbScBr
_symmetry_space_group_name_H-M 'P 3 m 1'
_symmetry_Int_Tables_number 156
_cell_length_a 3.6110
_cell_length_b 3.6110
_cell_length_c 7.0108
_cell_angle_alpha 90.00
_cell_angle_beta 90.00
_cell_angle_gamma 120.00
loop_
_symmetry_equiv_pos_as_xyz
'x,y,z'
'-y,x-y,z'
'-x+y,-x,z'
'-y,-x,z'
'-x+y,y,z'
'x,x-y,z'
loop_
_atom_site_label
_atom_site_type_symbol
_atom_site_fract_x
_atom_site_fract_y
_atom_site_fract_z
Tb1 Tb 0.0000 0.0000 0.0000
Sc1 Sc 0.6667 0.3333 0.3593
Br1 Br 0.3333 0.6667 0.6616
# Energy relative to the lowest polymorph listed for this composition   42.5 meV/atom
# Raw total energy   -4.893 eV/atom
# ΔE_f (raw)   -0.6809 eV per atom

No. 8
# Rb2HgBiPd | the Alexandria database | PBE | relaxed
data_Rb2HgBiPd
_symmetry_space_group_name_H-M 'P 4/m m m'
_symmetry_Int_Tables_number 123
_symmetry_space_group_name_Hall '-P 4 2'
_cell_length_a 6.623
_cell_length_b 6.623
_cell_length_c 5.175
_cell_angle_alpha 90.00
_cell_angle_beta 90.00
_cell_angle_gamma 90.00
loop_
_atom_site_label
_atom_site_type_symbol
_atom_site_fract_x
_atom_site_fract_y
_atom_site_fract_z
Rb1 Rb 0.000 0.500 0.000
Hg1 Hg 0.000 0.000 0.500
Bi1 Bi 0.500 0.500 0.500
Pd1 Pd 0.500 0.500 0.000
# Calculated formation energy   -0.17 eV/atom
# Raw total energy   -2.430 eV/atom

No. 9
# CuBiB2Pb | the Alexandria database | PBE | relaxed
data_CuBiB2Pb
_symmetry_space_group_name_H-M 'P 4/m m m'
_symmetry_Int_Tables_number 123
_symmetry_space_group_name_Hall '-P 4 2'
_cell_length_a 4.624
_cell_length_b 4.624
_cell_length_c 5.110
_cell_angle_alpha 90.00
_cell_angle_beta 90.00
_cell_angle_gamma 90.00
loop_
_atom_site_label
_atom_site_type_symbol
_atom_site_fract_x
_atom_site_fract_y
_atom_site_fract_z
Cu1 Cu 0.000 0.000 0.000
Bi1 Bi 0.500 0.500 0.000
B1 B 0.000 0.500 0.500
Pb1 Pb 0.000 0.000 0.500
# Calculated formation energy   1.81 eV/atom
# Raw total energy   -3.193 eV/atom

No. 10
# ZrSnPd3 | the Alexandria database | PBE | relaxed
data_ZrSnPd3
_symmetry_space_group_name_H-M 'P m -3 m'
_symmetry_Int_Tables_number 221
_symmetry_space_group_name_Hall '-P 4 2 3'
_cell_length_a 4.851
_cell_length_b 4.851
_cell_length_c 4.851
_cell_angle_alpha 90.00
_cell_angle_beta 90.00
_cell_angle_gamma 90.00
loop_
_atom_site_label
_atom_site_type_symbol
_atom_site_fract_x
_atom_site_fract_y
_atom_site_fract_z
Zr1 Zr 0.000 0.000 0.000
Sn1 Sn 0.500 0.500 0.500
Pd1 Pd 0.000 0.500 0.500
# Calculated formation energy   0.38 eV/atom
# Energy relative to the lowest polymorph listed for this composition   960.8 meV/atom
# Raw total energy   -5.248 eV/atom

No. 11
# CsSiNi3 | the Alexandria database | PBE | relaxed
data_CsSiNi3
_symmetry_space_group_name_H-M 'P m -3 m'
_symmetry_Int_Tables_number 221
_symmetry_space_group_name_Hall '-P 4 2 3'
_cell_length_a 4.790
_cell_length_b 4.790
_cell_length_c 4.790
_cell_angle_alpha 90.00
_cell_angle_beta 90.00
_cell_angle_gamma 90.00
loop_
_atom_site_label
_atom_site_type_symbol
_atom_site_fract_x
_atom_site_fract_y
_atom_site_fract_z
Cs1 Cs 0.000 0.000 0.000
Si1 Si 0.500 0.500 0.500
Ni1 Ni 0.000 0.000 0.500
# Energy relative to the lowest polymorph listed for this composition   1633.0 meV/atom
# Raw total energy   -2.533 eV/atom
# ΔE_f (raw)   2.1910 eV per atom

No. 12
# MgClF2 | the Alexandria database | PBE | relaxed
data_MgClF2
_symmetry_space_group_name_H-M 'I -4 2 d'
_symmetry_Int_Tables_number 122
_symmetry_space_group_name_Hall 'I -4 2bw'
_cell_length_a 6.090
_cell_length_b 6.090
_cell_length_c 8.729
_cell_angle_alpha 90.00
_cell_angle_beta 90.00
_cell_angle_gamma 90.00
loop_
_atom_site_label
_atom_site_type_symbol
_atom_site_fract_x
_atom_site_fract_y
_atom_site_fract_z
Mg1 Mg 0.000 0.000 0.000
Cl1 Cl 0.000 0.000 0.500
F1 F 0.006 0.250 0.125
# Energy relative to the lowest polymorph listed for this composition   300.7 meV/atom
# Raw total energy   -4.038 eV/atom
# ΔE_f (raw)   -2.2417 eV per atom

- Which value of raw total energy does entry 4 give?
  -4.890 eV/atom

- Which of these has the highest raw total energy?
  Rb2HgBiPd